Below is a relaxed TaTl2Sb crystal, with properties calculated at the GGA-PBE level.

The calculation puts the uncorrected formation energy at 0.349 eV per atom. The relative energy among the computed polymorphs comes out at 91 meV/atom. The value obtained for the total energy is -4.83 eV/atom.

The space group is Imm2 (No. 44) and the conventional cell measures 3.049, 5.138 and 13.991 Å, with angles of 90.00, 90.00 and 90.00 degrees. The distinct sites, in fractional coordinates, are Ta at (0.000, 0.000, 0.000), Tl at (0.000, 0.000, 0.518), Tl at (0.000, 0.500, 0.699) and Sb at (0.000, 0.500, 0.327).

Below is a relaxed ReNiSe crystal, with properties calculated at the GGA-PBE level.

The calculation puts the uncorrected formation energy at 0.313 eV per atom. The relative energy among the computed polymorphs comes out at 402 meV/atom. The value obtained for the total energy is -6.92 eV/atom.

The space group is P4mm (No. 99) and the conventional cell measures 2.934, 2.934 and 5.504 Å, with angles of 90.00, 90.00 and 90.00 degrees. The distinct sites, in fractional coordinates, are Re at (0.000, 0.000, 0.000), Ni at (0.500, 0.500, 0.709) and Se at (0.500, 0.500, 0.277).

Below is a relaxed LiY2Te crystal, with properties calculated at the GGA-PBE level.

The calculation puts the uncorrected formation energy at -0.516 eV per atom. The relative energy among the computed polymorphs comes out at 169 meV/atom. The value obtained for the total energy is -5.01 eV/atom.

The space group is R3m (No. 160, hexagonal axes) and the conventional cell measures 4.1837, 4.1837 and 21.5008 Å, with angles of 90.00, 90.00 and 120.00 degrees. The distinct sites, in fractional coordinates, are Li at (0.0000, 0.0000, 0.0000), Y at (0.0000, 0.0000, 0.5742), Y at (0.0000, 0.0000, 0.7845) and Te at (0.0000, 0.0000, 0.3511).

Below is a relaxed TaPd5Au2 crystal, with properties calculated at the GGA-PBE level.

The value obtained for the total energy is -5.87 eV/atom.

The space group is I4/mmm (No. 139) and the conventional cell measures 4.028, 4.028 and 15.965 Å, with angles of 90.00, 90.00 and 90.00 degrees. The distinct sites, in fractional coordinates, are Ta at (0.000, 0.000, 0.000), Pd at (0.000, 0.000, 0.500), Pd at (0.000, 0.500, 0.118) and Au at (0.000, 0.000, 0.254).

Below is a relaxed NpTi2Sb crystal, with properties calculated at the GGA-PBE level.

The calculation puts the uncorrected formation energy at -0.050 eV per atom. The relative energy among the computed polymorphs comes out at 91 meV/atom. The value obtained for the total energy is -8.26 eV/atom.

The space group is Fm-3m (No. 225) and the conventional cell measures 6.773, 6.773 and 6.773 Å, with angles of 90.00, 90.00 and 90.00 degrees. The distinct sites, in fractional coordinates, are Np at (0.000, 0.000, 0.000), Ti at (0.250, 0.250, 0.250) and Sb at (0.000, 0.000, 0.500).

Below is a relaxed RbNa2SiPt crystal, with properties calculated at the GGA-PBE level.

The calculation puts the uncorrected formation energy at -0.123 eV per atom. The relative energy among the computed polymorphs comes out at 94 meV/atom. The value obtained for the total energy is -3.14 eV/atom.

The space group is P4/mmm (No. 123) and the conventional cell measures 5.636, 5.636 and 4.615 Å, with angles of 90.00, 90.00 and 90.00 degrees. The distinct sites, in fractional coordinates, are Rb at (0.000, 0.000, 0.000), Na at (0.000, 0.500, 0.500), Si at (0.500, 0.500, 0.500) and Pt at (0.500, 0.500, 0.000).

Number 1: density 10.8 g cm⁻³. Number 2: density 11.3 g cm⁻³. Number 3: density 4.8 g cm⁻³. Number 4: density 14.2 g cm⁻³. Number 5: density 9.7 g cm⁻³. Number 6: density 4.0 g cm⁻³.